[1]
VASP calculation (GGA-PBE) on a relaxed structure of TaMnAg2.

a = 2.856 Å, b = 2.856 Å, c = 8.357 Å
α = 90.00°, β = 90.00°, γ = 90.00°
Element x y z (fractional)
Mn (0.500, 0.500, 0.250)
Ag (0.000, 0.000, 0.489)
Ag (0.000, 0.000, 0.011)
Ta (0.500, 0.500, 0.750)

Computed properties:
energy above the most stable polymorph in this dataset = 166.6 meV per atom
V = 17.05 A^3/atom
space-group type = P4/mmm, No. 123
DFT formation energy = 8.47 kcal/mol of atoms
E_tot = -0.2320 Ha/atom



[2]
VASP calculation (GGA-PBE) on a relaxed structure of TaMnAg2.

a = 2.778 Å, b = 2.778 Å, c = 9.467 Å
α = 90.00°, β = 90.00°, γ = 109.43°
Element x y z (fractional)
Ta (0.500, 0.500, 0.750)
Ag (0.000, 0.000, 0.490)
Ag (0.000, 0.000, 0.010)
Mn (0.500, 0.500, 0.250)

Computed properties:
energy above the most stable polymorph in this dataset = 187.8 meV per atom
V = 17.22 A^3/atom
space-group type = Cmmm, No. 65
DFT formation energy = 8.96 kcal/mol of atoms
E_tot = -0.2312 Ha/atom



[3]
VASP calculation (GGA-PBE) on a relaxed structure of TaMnAg.

a = 2.895 Å, b = 2.895 Å, c = 7.034 Å
α = 90.00°, β = 90.00°, γ = 120.00°
Element x y z (fractional)
Mn (0.667, 0.333, 0.338)
Ag (0.000, 0.000, 0.009)
Ta (0.333, 0.667, 0.652)

Computed properties:
energy above the most stable polymorph in this dataset = 73.7 meV per atom
V = 17.02 A^3/atom
space-group type = P3m1, No. 156
DFT formation energy = 7.70 kcal/mol of atoms
E_tot = -0.2802 Ha/atom



[4]
VASP calculation (GGA-PBE) on a relaxed structure of TaMnAg2.

a = 3.162 Å, b = 3.162 Å, c = 6.729 Å
α = 90.00°, β = 90.00°, γ = 90.00°
Element x y z (fractional)
Ta (0.500, 0.500, 0.707)
Ag (0.000, 0.000, 0.998)
Ag (0.500, 0.500, 0.266)
Mn (0.000, 0.000, 0.529)

Computed properties:
energy above the most stable polymorph in this dataset = 75.1 meV per atom
V = 16.82 A^3/atom
space-group type = P4mm, No. 99
DFT formation energy = 6.36 kcal/mol of atoms
E_tot = -0.2354 Ha/atom



[5]
VASP calculation (GGA-PBE) on a relaxed structure of TaMnAg2.

a = 5.228 Å, b = 5.228 Å, c = 5.228 Å
α = 137.21°, β = 137.21°, γ = 62.12°
Element x y z (fractional)
Ta (0.250, 0.750, 0.500)
Ag (0.500, 0.500, 0.000)
Ag (0.000, 0.000, 0.000)
Mn (0.750, 0.250, 0.500)

Computed properties:
energy above the most stable polymorph in this dataset = 185.2 meV per atom
V = 16.29 A^3/atom
space-group type = I4/mmm, No. 139
DFT formation energy = 8.90 kcal/mol of atoms
E_tot = -0.2313 Ha/atom



[6]
VASP calculation (GGA-PBE) on a relaxed structure of TaMnAg2.

a = 5.517 Å, b = 5.517 Å, c = 5.517 Å
α = 147.08°, β = 133.47°, γ = 58.17°
Element x y z (fractional)
Ag (0.985, 0.985, 0.000)
Ag (0.515, 0.515, 0.000)
Mn (0.750, 0.250, 0.500)
Ta (0.250, 0.750, 0.500)

Computed properties:
energy above the most stable polymorph in this dataset = 175.6 meV per atom
V = 16.43 A^3/atom
space-group type = Immm, No. 71
DFT formation energy = 8.68 kcal/mol of atoms
E_tot = -0.2317 Ha/atom



[7]
VASP calculation (GGA-PBE) on a relaxed structure of Ta3MnAg.

a = 4.595 Å, b = 4.595 Å, c = 4.595 Å
α = 90.00°, β = 90.00°, γ = 90.00°
Element x y z (fractional)
Ta (0.000, 0.000, 0.500)
Ta (0.000, 0.500, 0.000)
Ta (0.500, 0.000, 0.000)
Ag (0.500, 0.500, 0.500)
Mn (0.000, 0.000, 0.000)

Computed properties:
energy above the most stable polymorph in this dataset = 0.0 meV per atom
V = 19.40 A^3/atom
space-group type = Pm-3m, No. 221
DFT formation energy = 19.57 kcal/mol of atoms
E_tot = -0.3185 Ha/atom



[8]
VASP calculation (GGA-PBE) on a relaxed structure of TaMn2Ag.

a = 2.769 Å, b = 2.769 Å, c = 7.858 Å
α = 90.00°, β = 90.00°, γ = 90.03°
Element x y z (fractional)
Ta (0.000, 0.000, 0.473)
Ag (0.500, 0.500, 0.766)
Mn (0.500, 0.500, 0.224)
Mn (0.000, 0.000, 0.037)

Computed properties:
energy above the most stable polymorph in this dataset = 30.4 meV per atom
V = 15.06 A^3/atom
space-group type = P4mm, No. 99
DFT formation energy = 4.90 kcal/mol of atoms
E_tot = -0.2958 Ha/atom